# MnTcF2, relaxed, DFT GGA+U
data_MnTcF2
_space_group_name_H-M_alt 'F m -3 m'
_space_group_IT_number 225
_space_group_name_Hall '-F 4 2 3'
_cell_length_a 6.068
_cell_length_b 6.068
_cell_length_c 6.068
_cell_angle_alpha 90.00
_cell_angle_beta 90.00
_cell_angle_gamma 90.00
loop_
_atom_site_label
_atom_site_fract_x
_atom_site_fract_y
_atom_site_fract_z
_atom_site_occupancy
Mn1 0.000 0.000 0.000 1
Tc1 0.000 0.000 0.500 1
F1 0.250 0.250 0.250 1
# Magnetic moment, μB/atom: 2.12
# Final energy, eV/atom: -5.693
# Energy above the lowest structure with this stoichiometry, eV per atom: 0.647
# D(E_F), states/eV/cell: 13.27